Record 1
B2NF: optimized geometry, PBE.

Properties
- mass density (g/cm3) = 2.9
- spin magnetization (μB per cell) = 0.00
- total DFT energy (no corrections) (eV for the cell shown) = -91.0
- calculated volume (Å³ per cell) = 126.4
- formation energy from raw total energies (eV/f.u.) = 0.8
- N(E_F) (states/eV per atom) = 0.00

Structure (CIF):
```
data_B2NF
_chemical_formula_sum 'B8 N4 F4'
_symmetry_space_group_name_H-M 'I -4 2 d'
_symmetry_Int_Tables_number 122
_symmetry_space_group_name_Hall 'I -4 2bw'
_cell_length_a 4.112
_cell_length_b 4.112
_cell_length_c 7.474
_cell_angle_alpha 90.00
_cell_angle_beta 90.00
_cell_angle_gamma 90.00
loop_
_atom_site_label
_atom_site_type_symbol
_atom_site_fract_x
_atom_site_fract_y
_atom_site_fract_z
B1 B 0.153 0.250 0.125
N1 N 0.000 0.000 0.000
F1 F 0.000 0.000 0.500
```

Record 2
NaSb4Pt4: optimized geometry, PBE.

Properties
- mass density (g/cm3) = 9.8
- spin magnetization (μB per cell) = 0.00
- total DFT energy (no corrections) (eV for the cell shown) = -90.7
- calculated volume (Å³ per cell) = 438.8
- formation energy from raw total energies (eV/f.u.) = -3.4
- N(E_F) (states/eV per atom) = 0.62

Structure (CIF):
```
data_NaSb4Pt4
_chemical_formula_sum 'Na2 Sb8 Pt8'
_symmetry_space_group_name_H-M 'P 42/n'
_symmetry_Int_Tables_number 86
_cell_length_a 9.001
_cell_length_b 9.001
_cell_length_c 5.415
_cell_angle_alpha 90.00
_cell_angle_beta 90.00
_cell_angle_gamma 90.00
loop_
_symmetry_equiv_pos_as_xyz
'x,y,z'
'-x,-y,-z'
'-y,x+1/2,z+1/2'
'y,-x+1/2,-z+1/2'
'-x+1/2,-y+1/2,z'
'x+1/2,y+1/2,-z'
'y+1/2,-x,z+1/2'
'-y+1/2,x,-z+1/2'
loop_
_atom_site_label
_atom_site_type_symbol
_atom_site_fract_x
_atom_site_fract_y
_atom_site_fract_z
Na1 Na 0.250 0.250 0.250
Sb1 Sb 0.102 0.627 0.162
Pt1 Pt 0.059 0.608 0.667
```

Record 3
PmPuBi2: optimized geometry, PBE.

Properties
- mass density (g/cm3) = 10.0
- spin magnetization (μB per cell) = 15.37
- total DFT energy (no corrections) (eV for the cell shown) = -88.1
- calculated volume (Å³ per cell) = 401.8
- distance to the lowest polymorph of the same formula (meV/atom) = 0.0
- DFT formation energy (eV/atom) = -0.629
- N(E_F) (states/eV per atom) = 3.95

Structure (CIF):
```
data_PmPuBi2
_chemical_formula_sum 'Pm3 Pu3 Bi6'
_symmetry_space_group_name_H-M 'R -3 m'
_symmetry_Int_Tables_number 166
_symmetry_space_group_name_Hall '-R 3 2"'
_cell_length_a 4.5581
_cell_length_b 4.5581
_cell_length_c 22.3338
_cell_angle_alpha 90.00
_cell_angle_beta 90.00
_cell_angle_gamma 120.00
loop_
_atom_site_label
_atom_site_type_symbol
_atom_site_fract_x
_atom_site_fract_y
_atom_site_fract_z
Pm1 Pm 0.0000 0.0000 0.0000
Pu1 Pu 0.0000 0.0000 0.5000
Bi1 Bi 0.0000 0.0000 0.2484
```

Record 4
ScAlN: optimized geometry, PBE.

Properties
- mass density (g/cm3) = 3.4
- spin magnetization (μB per cell) = 3.10
- total DFT energy (no corrections) (eV for the cell shown) = -83.9
- calculated volume (Å³ per cell) = 168.3
- formation energy from raw total energies (eV/f.u.) = -2.6
- N(E_F) (states/eV per atom) = 0.35

Structure (CIF):
```
data_ScAlN
_chemical_formula_sum 'Sc4 Al4 N4'
_symmetry_space_group_name_H-M 'C 1 2/m 1'
_symmetry_Int_Tables_number 12
_cell_length_a 5.368
_cell_length_b 3.099
_cell_length_c 10.278
_cell_angle_alpha 90.00
_cell_angle_beta 100.06
_cell_angle_gamma 90.00
loop_
_symmetry_equiv_pos_as_xyz
'x,y,z'
'-x,-y,-z'
'-x,y,-z'
'x,-y,z'
'x+1/2,y+1/2,z'
'-x+1/2,-y+1/2,-z'
'-x+1/2,y+1/2,-z'
'x+1/2,-y+1/2,z'
loop_
_atom_site_label
_atom_site_type_symbol
_atom_site_fract_x
_atom_site_fract_y
_atom_site_fract_z
Sc1 Sc 0.211 0.000 0.132
Al1 Al 0.043 0.000 0.630
N1 N 0.096 0.500 0.286
```

Record 5
Ti6ZnBi: optimized geometry, PBE.

Properties
- mass density (g/cm3) = 6.6
- spin magnetization (μB per cell) = 0.00
- total DFT energy (no corrections) (eV for the cell shown) = -53.2
- calculated volume (Å³ per cell) = 141.0
- distance to the lowest polymorph of the same formula (meV/atom) = 0.0
- DFT formation energy (eV/atom) = -0.084
- N(E_F) (states/eV per atom) = 0.68

Structure (CIF):
```
data_Ti6ZnBi
_chemical_formula_sum 'Ti6 Zn1 Bi1'
_symmetry_space_group_name_H-M 'P -6 m 2'
_symmetry_Int_Tables_number 187
_symmetry_space_group_name_Hall 'P -6 2'
_cell_length_a 5.8455
_cell_length_b 5.8455
_cell_length_c 4.7602
_cell_angle_alpha 90.00
_cell_angle_beta 90.00
_cell_angle_gamma 120.00
loop_
_atom_site_label
_atom_site_type_symbol
_atom_site_fract_x
_atom_site_fract_y
_atom_site_fract_z
Ti1 Ti 0.9997 0.4998 0.0000
Ti2 Ti 0.3406 0.1703 0.5000
Zn1 Zn 0.3333 0.6667 0.5000
Bi1 Bi 0.0000 0.0000 0.0000
```

Record 6
CsTlPbCl6: optimized geometry, PBE.

Properties
- mass density (g/cm3) = 3.6
- spin magnetization (μB per cell) = 0.00
- total DFT energy (no corrections) (eV for the cell shown) = -28.5
- calculated volume (Å³ per cell) = 351.8
- formation energy from raw total energies (eV/f.u.) = -10.5
- N(E_F) (states/eV per atom) = 0.00

Structure (CIF):
```
data_CsTlPbCl6
_chemical_formula_sum 'Cs1 Tl1 Pb1 Cl6'
_symmetry_space_group_name_H-M 'P 3 1 2'
_symmetry_Int_Tables_number 149
_cell_length_a 7.3502
_cell_length_b 7.3502
_cell_length_c 7.5189
_cell_angle_alpha 90.00
_cell_angle_beta 90.00
_cell_angle_gamma 120.00
loop_
_symmetry_equiv_pos_as_xyz
'x,y,z'
'-y,x-y,z'
'-x+y,-x,z'
'-y,-x,-z'
'-x+y,y,-z'
'x,x-y,-z'
loop_
_atom_site_label
_atom_site_type_symbol
_atom_site_fract_x
_atom_site_fract_y
_atom_site_fract_z
Cs1 Cs 0.0000 0.0000 0.0000
Tl1 Tl 0.6667 0.3333 0.5000
Pb1 Pb 0.3333 0.6667 0.5000
Cl1 Cl 0.3895 0.0282 0.7058
```

Record 7
Mg5In3I12: optimized geometry, PBE.

Properties
- mass density (g/cm3) = 4.0
- spin magnetization (μB per cell) = 0.01
- total DFT energy (no corrections) (eV for the cell shown) = -397.1
- calculated volume (Å³ per cell) = 6619.9
- formation energy from raw total energies (eV/f.u.) = -14.8
- N(E_F) (states/eV per atom) = 0.25

Structure (CIF):
```
data_Mg5In3I12
_chemical_formula_sum 'Mg40 In24 I96'
_symmetry_space_group_name_H-M 'I a -3 d'
_symmetry_Int_Tables_number 230
_symmetry_space_group_name_Hall '-I 4bd 2c 3'
_cell_length_a 18.777
_cell_length_b 18.777
_cell_length_c 18.777
_cell_angle_alpha 90.00
_cell_angle_beta 90.00
_cell_angle_gamma 90.00
loop_
_atom_site_label
_atom_site_type_symbol
_atom_site_fract_x
_atom_site_fract_y
_atom_site_fract_z
Mg1 Mg 0.000 0.000 0.000
Mg2 Mg 0.000 0.250 0.375
In1 In 0.000 0.250 0.125
I1 I 0.032 0.055 0.648
```

Record 8
RbNiPt2N: optimized geometry, PBE.

Properties
- mass density (g/cm3) = 10.2
- spin magnetization (μB per cell) = 0.29
- total DFT energy (no corrections) (eV for the cell shown) = -22.9
- calculated volume (Å³ per cell) = 89.6
- formation energy from raw total energies (eV/f.u.) = 4.3
- N(E_F) (states/eV per atom) = 1.00

Structure (CIF):
```
data_RbNiPt2N
_chemical_formula_sum 'Rb1 Ni1 Pt2 N1'
_symmetry_space_group_name_H-M 'P 4/m m m'
_symmetry_Int_Tables_number 123
_symmetry_space_group_name_Hall '-P 4 2'
_cell_length_a 4.051
_cell_length_b 4.051
_cell_length_c 5.459
_cell_angle_alpha 90.00
_cell_angle_beta 90.00
_cell_angle_gamma 90.00
loop_
_atom_site_label
_atom_site_type_symbol
_atom_site_fract_x
_atom_site_fract_y
_atom_site_fract_z
Rb1 Rb 0.000 0.000 0.000
Ni1 Ni 0.500 0.500 0.000
Pt1 Pt 0.000 0.500 0.500
N1 N 0.000 0.000 0.500
```

> Look up the N(E_F) of the fourth one.

0.35 states/eV per atom